<a>
{"formula": "LiTaOs3", "functional": "PBE", "state": "relaxed", "cell": [[4.1272, 0.0000, 0.0000], [0.0000, 4.1272, 0.0000], [0.0000, 0.0000, 4.1272]], "species": ["Li", "Ta", "Os", "Os", "Os"], "fractional_positions": [[0.0000, 0.0000, 0.0000], [0.5000, 0.5000, 0.5000], [0.0000, 0.0000, 0.5000], [0.0000, 0.5000, 0.0000], [0.5000, 0.0000, 0.0000]], "magmom_total_mub_per_fu": 0.00, "sg": "Pm-3m", "n_ef_per_ev_cell": 5.10}



<b>
{"formula": "LiTaOs3", "functional": "PBE", "state": "relaxed", "cell": [[4.7997, 0.0000, 0.0000], [0.0000, 4.7997, 0.0000], [0.0000, 0.0000, 4.7997]], "species": ["Li", "Ta", "Os", "Os", "Os"], "fractional_positions": [[0.0000, 0.0000, 0.0000], [0.5000, 0.5000, 0.5000], [0.0000, 0.5000, 0.5000], [0.5000, 0.0000, 0.5000], [0.5000, 0.5000, 0.0000]], "magmom_total_mub_per_fu": 2.28, "sg": "Pm-3m", "n_ef_per_ev_cell": 6.38}



Of them, <b> has the lowest stability.



<a>
{"formula": "LiTcOs2", "functional": "PBE", "state": "relaxed", "cell": [[0.0000, 3.0143, 3.0143], [3.0143, 0.0000, 3.0143], [3.0143, 3.0143, 0.0000]], "species": ["Li", "Tc", "Os", "Os"], "fractional_positions": [[0.0000, 0.0000, 0.0000], [0.2500, 0.2500, 0.2500], [0.5000, 0.5000, 0.5000], [0.7500, 0.7500, 0.7500]], "magmom_total_mub_per_fu": 0.00, "sg": "F-43m", "n_ef_per_ev_cell": 2.73}



<b>
{"formula": "LiTcOs2", "functional": "PBE", "state": "relaxed", "cell": [[4.3864, -1.3410, 0.0000], [4.3864, 1.3410, 0.0000], [-0.5686, 0.0000, 4.7286]], "species": ["Li", "Tc", "Os", "Os"], "fractional_positions": [[0.0000, 0.0000, 0.0000], [0.5000, 0.5000, 0.5000], [0.2425, 0.2425, 0.7589], [0.7575, 0.7575, 0.2411]], "magmom_total_mub_per_fu": 0.00, "sg": "C2/m", "n_ef_per_ev_cell": 3.64}



Of them, <a> has the lowest stability.



<a>
{"formula": "LiTcOs2", "functional": "PBE", "state": "relaxed", "cell": [[-1.4813, 2.1454, 4.2430], [1.4813, -2.1454, 4.2430], [1.4813, 2.1454, -4.2430]], "species": ["Li", "Tc", "Os", "Os"], "fractional_positions": [[0.0000, 0.0000, 0.0000], [0.7550, 0.2550, 0.5000], [0.2433, 0.7433, 0.5000], [0.5003, 0.5003, 0.0000]], "magmom_total_mub_per_fu": 0.00, "sg": "Imm2", "n_ef_per_ev_cell": 3.20}



<b>
{"formula": "LiTcOs2", "functional": "PBE", "state": "relaxed", "cell": [[3.8293, 0.0000, 0.0000], [0.0000, 3.8293, 0.0000], [0.0000, 0.0000, 3.7514]], "species": ["Li", "Tc", "Os", "Os"], "fractional_positions": [[0.0000, 0.0000, 0.0000], [0.5000, 0.5000, 0.0000], [0.0000, 0.5000, 0.5000], [0.5000, 0.0000, 0.5000]], "magmom_total_mub_per_fu": 0.15, "sg": "P4/mmm", "n_ef_per_ev_cell": 5.41}



Of them, <b> has the lowest stability.



<a>
{"formula": "LiTcOs2", "functional": "PBE", "state": "relaxed", "cell": [[1.3943, -2.2718, 0.0000], [1.3943, 2.2718, 0.0000], [0.0000, 0.0000, 9.1455]], "species": ["Li", "Tc", "Os", "Os"], "fractional_positions": [[0.0000, 0.0000, 0.0000], [0.0000, 0.0000, 0.5000], [0.5000, 0.5000, 0.2528], [0.5000, 0.5000, 0.7472]], "magmom_total_mub_per_fu": 0.00, "sg": "Cmmm", "n_ef_per_ev_cell": 3.56}



<b>
{"formula": "LiTcOs2", "functional": "PBE", "state": "relaxed", "cell": [[0.0000, 3.0096, 3.0096], [3.0096, 0.0000, 3.0096], [3.0096, 3.0096, 0.0000]], "species": ["Li", "Tc", "Os", "Os"], "fractional_positions": [[0.0000, 0.0000, 0.0000], [0.5000, 0.5000, 0.5000], [0.2500, 0.2500, 0.2500], [0.7500, 0.7500, 0.7500]], "magmom_total_mub_per_fu": 0.00, "sg": "Fm-3m", "n_ef_per_ev_cell": 1.75}



Of them, <a> has the lowest stability.



<a>
{"formula": "LiTcOs2", "functional": "PBE", "state": "relaxed", "cell": [[1.3605, 0.7855, 9.0062], [-1.3605, 0.7855, 9.0062], [0.0000, -1.5709, 9.0062]], "species": ["Li", "Tc", "Os", "Os"], "fractional_positions": [[0.0000, 0.0000, 0.0000], [0.5000, 0.5000, 0.5000], [0.2469, 0.2469, 0.2469], [0.7531, 0.7531, 0.7531]], "magmom_total_mub_per_fu": 0.00, "sg": "R-3m", "n_ef_per_ev_cell": 3.79}



<b>
{"formula": "LiTcOs2", "functional": "PBE", "state": "relaxed", "cell": [[2.6737, 0.0000, 0.0000], [0.0000, 4.0724, 0.0000], [-1.2333, 0.0000, 4.9905]], "species": ["Li", "Tc", "Os", "Os"], "fractional_positions": [[0.0000, 0.0000, 0.0000], [0.5000, 0.0000, 0.5000], [0.1829, 0.5000, 0.7678], [0.8172, 0.5000, 0.2322]], "magmom_total_mub_per_fu": 0.00, "sg": "P2/m", "n_ef_per_ev_cell": 3.09}



Of them, <b> has the lowest stability.



<a>
{"formula": "LiTcOs", "functional": "PBE", "state": "relaxed", "cell": [[-1.5071, 1.5071, 4.3830], [1.5071, -1.5071, 4.3830], [1.5071, 1.5071, -4.3830]], "species": ["Li", "Tc", "Os"], "fractional_positions": [[0.0000, 0.0000, 0.0000], [0.3285, 0.3285, 0.0000], [0.6668, 0.6668, 0.0000]], "magmom_total_mub_per_fu": 0.00, "sg": "I4mm", "n_ef_per_ev_cell": 1.06}



<b>
{"formula": "LiTcOs", "functional": "PBE", "state": "relaxed", "cell": [[4.2634, 0.0000, 0.0000], [-2.1317, 3.6922, 0.0000], [0.0000, 0.0000, 2.6009]], "species": ["Li", "Tc", "Os"], "fractional_positions": [[0.0000, 0.0000, 0.0000], [0.3333, 0.6667, 0.6426], [0.6667, 0.3333, 0.3627]], "magmom_total_mub_per_fu": 0.00, "sg": "P3m1", "n_ef_per_ev_cell": 1.58}



Of them, <a> has the lowest stability.



<a>
{"formula": "LiTcOs", "functional": "PBE", "state": "relaxed", "cell": [[0.0000, 2.2460, 6.9161], [1.4126, 0.0000, 6.9161], [1.4126, 2.2460, 0.0000]], "species": ["Li", "Tc", "Os"], "fractional_positions": [[0.0000, 0.0000, 0.0000], [0.3258, 0.3258, 0.6742], [0.6676, 0.6676, 0.3324]], "magmom_total_mub_per_fu": 0.00, "sg": "Fmm2", "n_ef_per_ev_cell": 3.14}



<b>
{"formula": "LiTcOs", "functional": "PBE", "state": "relaxed", "cell": [[0.0000, 2.8868, 2.8868], [2.8868, 0.0000, 2.8868], [2.8868, 2.8868, 0.0000]], "species": ["Li", "Tc", "Os"], "fractional_positions": [[0.0000, 0.0000, 0.0000], [0.5000, 0.5000, 0.5000], [0.7500, 0.7500, 0.7500]], "magmom_total_mub_per_fu": 0.00, "sg": "F-43m", "n_ef_per_ev_cell": 1.96}



<c>
{"formula": "LiTcOs", "functional": "PBE", "state": "relaxed", "cell": [[-1.3527, 2.0008, 3.7402], [1.3527, -2.0008, 3.7402], [1.3527, 2.0008, -3.7402]], "species": ["Li", "Tc", "Os"], "fractional_positions": [[0.0000, 0.0000, 0.0000], [0.3301, 0.3301, 0.0000], [0.6660, 0.6660, 0.0000]], "magmom_total_mub_per_fu": 0.00, "sg": "Imm2", "n_ef_per_ev_cell": 2.35}



<d>
{"formula": "LiTcOs", "functional": "PBE", "state": "relaxed", "cell": [[3.5836, -2.0723, 0.0000], [3.5836, 2.0723, 0.0000], [-2.3600, 0.0000, 7.0599]], "species": ["Li", "Li", "Tc", "Tc", "Os", "Os"], "fractional_positions": [[0.2073, 0.2073, 0.1168], [0.7927, 0.7927, 0.8832], [0.0578, 0.0578, 0.6780], [0.9422, 0.9422, 0.3220], [0.3724, 0.3724, 0.6205], [0.6276, 0.6276, 0.3795]], "magmom_total_mub_per_fu": 0.00, "sg": "C2/m", "n_ef_per_ev_cell": 5.26}



Of them, <d> has the lowest stability.